(1)
The following is a meta-GGA SCAN calculation of a crystal of Rb5Si2NiO8 relaxed with PBEsol, from Alexandria.

The volume is 18.5 Å³/atom. Its uncorrected formation energy is -2193 meV per atom.

The structure belongs to space group C2/c (No. 15); the cell edges are 8.242, 10.593 and 13.645 Å and the angles 90.00°, 95.19° and 90.00°. Symmetry generates all atoms from Rb at (0.000, 0.134, 0.250), Rb at (0.095, 0.339, 0.598), Rb at (0.227, 0.345, 0.161), Si at (0.245, 0.468, 0.381), Ni at (0.000, 0.000, 0.000), O at (0.055, 0.072, 0.621), O at (0.131, 0.344, 0.375), O at (0.197, 0.421, 0.803) and O at (0.221, 0.025, 0.003).

***

(2)
The following is a meta-GGA SCAN calculation of a crystal of RbNi2SnO relaxed with PBEsol, from Alexandria.

The volume is 24.0 Å³/atom. Its uncorrected formation energy is 2296 meV per atom.

The structure belongs to space group P4/mmm (No. 123); the cell edges are 4.307, 4.307 and 6.458 Å and the angles 90.00°, 90.00° and 90.00°. Symmetry generates all atoms from Rb at (0.000, 0.000, 0.000), Ni at (0.000, 0.500, 0.000), Sn at (0.000, 0.000, 0.500) and O at (0.500, 0.500, 0.500).

***

(3)
The following is a meta-GGA SCAN calculation of a crystal of Re3NiO relaxed with PBEsol, from Alexandria.

The volume is 16.8 Å³/atom. Its uncorrected formation energy is 2629 meV per atom.

The structure belongs to space group Pm-3m (No. 221); the cell edges are 4.376, 4.376 and 4.376 Å and the angles 90.00°, 90.00° and 90.00°. Symmetry generates all atoms from Re at (0.000, 0.000, 0.500), Ni at (0.000, 0.000, 0.000) and O at (0.500, 0.500, 0.500).

***

(4)
The following is a meta-GGA SCAN calculation of a crystal of NiSb2O6 relaxed with PBEsol, from Alexandria.

The volume is 11.2 Å³/atom. Its uncorrected formation energy is -1549 meV per atom.

The structure belongs to space group P4_2/mnm (No. 136); the cell edges are 4.651, 4.651 and 9.290 Å and the angles 90.00°, 90.00° and 90.00°. Symmetry generates all atoms from Ni at (0.000, 0.000, 0.000), Sb at (0.000, 0.000, 0.333), O at (0.194, 0.194, 0.500) and O at (0.195, 0.195, 0.168).

***

(5)
The following is a meta-GGA SCAN calculation of a crystal of Ni3SbO relaxed with PBEsol, from Alexandria.

The volume is 19.5 Å³/atom. Its uncorrected formation energy is 1294 meV per atom.

The structure belongs to space group Pm-3m (No. 221); the cell edges are 4.603, 4.603 and 4.603 Å and the angles 90.00°, 90.00° and 90.00°. Symmetry generates all atoms from Ni at (0.000, 0.000, 0.500), Sb at (0.000, 0.000, 0.000) and O at (0.500, 0.500, 0.500).

***

(6)
The following is a meta-GGA SCAN calculation of a crystal of NiSbTe2O relaxed with PBEsol, from Alexandria.

The volume is 23.3 Å³/atom. Its uncorrected formation energy is 663 meV per atom.

The structure belongs to space group P4/mmm (No. 123); the cell edges are 4.922, 4.922 and 4.811 Å and the angles 90.00°, 90.00° and 90.00°. Symmetry generates all atoms from Ni at (0.000, 0.000, 0.000), Sb at (0.000, 0.000, 0.500), Te at (0.000, 0.500, 0.000) and O at (0.500, 0.500, 0.500).

***

(7)
The following is a meta-GGA SCAN calculation of a crystal of ScNi3O relaxed with PBEsol, from Alexandria.

The volume is 11.6 Å³/atom. Its uncorrected formation energy is -417 meV per atom.

The structure belongs to space group Pm-3m (No. 221); the cell edges are 3.870, 3.870 and 3.870 Å and the angles 90.00°, 90.00° and 90.00°. Symmetry generates all atoms from Sc at (0.000, 0.000, 0.000), Ni at (0.000, 0.500, 0.500) and O at (0.500, 0.500, 0.500).

***

(8)
The following is a meta-GGA SCAN calculation of a crystal of NiSeO3 relaxed with PBEsol, from Alexandria.

The volume is 10.5 Å³/atom. Its uncorrected formation energy is -1079 meV per atom.

The structure belongs to space group Pnma (No. 62); the cell edges are 5.825, 7.346 and 4.920 Å and the angles 90.00°, 90.00° and 90.00°. Symmetry generates all atoms from Ni at (0.000, 0.000, 0.000), Se at (0.011, 0.250, 0.480), O at (0.073, 0.250, 0.829) and O at (0.183, 0.070, 0.358).

***

(9)
The following is a meta-GGA SCAN calculation of a crystal of SiNiO3 relaxed with PBEsol, from Alexandria.

The volume is 9.6 Å³/atom. Its uncorrected formation energy is -413 meV per atom.

The structure belongs to space group Pm-3m (No. 221); the cell edges are 3.638, 3.638 and 3.638 Å and the angles 90.00°, 90.00° and 90.00°. Symmetry generates all atoms from Si at (0.000, 0.000, 0.000), Ni at (0.500, 0.500, 0.500) and O at (0.000, 0.500, 0.500).

***

(10)
The following is a meta-GGA SCAN calculation of a crystal of TiSiNi2O relaxed with PBEsol, from Alexandria.

The volume is 11.3 Å³/atom. Its uncorrected formation energy is -721 meV per atom.

The structure belongs to space group P4/mmm (No. 123); the cell edges are 3.776, 3.776 and 3.962 Å and the angles 90.00°, 90.00° and 90.00°. Symmetry generates all atoms from Ti at (0.000, 0.000, 0.000), Si at (0.500, 0.500, 0.000), Ni at (0.000, 0.500, 0.500) and O at (0.000, 0.000, 0.500).

***

(11)
The following is a meta-GGA SCAN calculation of a crystal of ZnSi4NiO10 relaxed with PBEsol, from Alexandria.

The volume is 11.5 Å³/atom. Its uncorrected formation energy is -2540 meV per atom.

The structure belongs to space group P4/ncc (No. 130, origin choice 2); the cell edges are 7.071, 7.071 and 14.775 Å and the angles 90.00°, 90.00° and 90.00°. Symmetry generates all atoms from Zn at (0.250, 0.750, 0.000), Si at (0.010, 0.576, 0.143), Ni at (0.250, 0.250, 0.072), O at (0.002, 0.671, 0.426), O at (0.010, 0.698, 0.622) and O at (0.050, 0.550, 0.250).

***

(12)
The following is a meta-GGA SCAN calculation of a crystal of SrSm3Ni2O8 relaxed with PBEsol, from Alexandria.

The volume is 12.0 Å³/atom. Its uncorrected formation energy is -2849 meV per atom.

The structure belongs to space group Amm2 (No. 38); the cell edges are 5.262, 5.261 and 12.162 Å and the angles 90.00°, 90.00° and 90.00°. Symmetry generates all atoms from Sr at (0.000, 0.000, 0.000), Sm at (0.000, 0.000, 0.723), Sm at (0.500, 0.000, 0.219), Sm at (0.500, 0.000, 0.493), Ni at (0.000, 0.000, 0.360), Ni at (0.500, 0.000, 0.862), O at (0.000, 0.000, 0.195), O at (0.000, 0.000, 0.534), O at (0.256, 0.245, 0.352), O at (0.500, 0.000, 0.033) and O at (0.500, 0.000, 0.680).